(1)
VASP calculation (PBE) on a relaxed Au3Se5 crystal.

Cell lengths 7.2542, 16.6205, 3.7488 Å; angles 90.00, 90.00, 90.00 degrees
Atoms (fractional coordinates):
Au 0.0000 0.0000 0.0000
Au 0.0000 0.2498 0.5000
Au 0.0000 0.7502 0.5000
Au 0.5000 0.2502 0.5000
Au 0.5000 0.5000 0.0000
Au 0.5000 0.7498 0.5000
Se 0.0000 0.5000 0.0000
Se 0.2447 0.0000 0.5000
Se 0.2500 0.2500 0.0000
Se 0.2500 0.7500 0.0000
Se 0.2553 0.5000 0.5000
Se 0.5000 0.0000 0.0000
Se 0.7447 0.5000 0.5000
Se 0.7500 0.2500 0.0000
Se 0.7500 0.7500 0.0000
Se 0.7553 0.0000 0.5000

Calculated values
Relative energy among the computed polymorphs (eV per formula unit): 1.99
VASP energy (eV per atom): -3.164

***

(2)
VASP calculation (PBE) on a relaxed Au3Se crystal.

Cell lengths 4.0123, 4.2151, 8.8950 Å; angles 90.00, 90.00, 90.00 degrees
Atoms (fractional coordinates):
Au 0.0000 0.0000 0.0000
Au 0.0000 0.5000 0.2497
Au 0.0000 0.5000 0.7503
Au 0.5000 0.0000 0.2503
Au 0.5000 0.0000 0.7497
Au 0.5000 0.5000 0.5000
Se 0.0000 0.0000 0.5000
Se 0.5000 0.5000 0.0000

Calculated values
VASP energy (eV per atom): -3.106

***

Summary of raw formation energy in kJ/mol of atoms
23.5, 21.5
(order as listed above)